Record 1
Below is a relaxed structure of CsSc2S2, with properties calculated at the GGA-PBE level.

* symmetry: I4/mmm
* energy relative to the elements, uncorrected: -1.094 eV per atom
* calculated total energy: -5.4483 eV/atom
* Fermi-level density of states: 0.694 states/eV per atom
* M_tot: 0.000 μB/atom
* theoretical density: 3.53 g/cm³

Cell and atoms, written as POSCAR:
```
CsSc2S2
1.0
-2.4758 2.4758 5.5025
2.4758 -2.4758 5.5025
2.4758 2.4758 -5.5025
Cs Sc S
1 2 2
Cartesian
0.0000 0.0000 0.0000
0.0000 0.0000 3.5868
0.0000 0.0000 7.4182
2.4758 0.0000 2.7513
0.0000 2.4758 2.7513
```

Record 2
Below is a relaxed structure of Pr2Sm3, with properties calculated at the GGA-PBE level.

* symmetry: P2_1/m
* calculated total energy: -4.7042 eV/atom
* Fermi-level density of states: 1.418 states/eV per atom
* M_tot: 0.000 μB/atom
* energy relative to the elements: 0.04 eV/atom
* theoretical density: 6.98 g/cm³

Cell and atoms, written as POSCAR:
```
Pr2Sm3
1.0
8.9967 0.0000 0.0000
0.0000 3.6211 0.0000
-3.4565 0.0000 10.6998
Pr Sm
4 6
Cartesian
1.6069 0.9053 0.3173
-0.2046 0.9053 6.0682
5.7448 2.7158 4.6316
3.9333 2.7158 10.3825
-0.8108 0.9053 2.7073
2.2500 2.7158 3.7205
0.7368 2.7158 9.0906
4.8033 0.9053 1.6092
3.2902 0.9053 6.9793
6.3510 2.7158 7.9926
```

- Which formula does entry 2 have?
  Pr2Sm3